Run 1
Below is a relaxed structure of MgInIr2, with properties calculated at the PBE level.

abc: 4.436 2.887 5.220
angles: 85.93 90.00 90.00
Element x y z (fractional)
In: 0.500 0.750 0.750
Ir: 0.000 0.008 0.021
Ir: 0.000 0.492 0.479
Mg: 0.500 0.250 0.250

Space-group type: P2/m (10)


Run 2
Below is a relaxed structure of MgInIr2, with properties calculated at the PBE level.

abc: 4.506 4.506 4.506
angles: 60.00 60.00 60.00
Element x y z (fractional)
Mg: 0.000 0.000 0.000
Ir: 0.250 0.250 0.250
Ir: 0.750 0.750 0.750
In: 0.500 0.500 0.500

Space-group type: Fm-3m (225)


Run 3
Below is a relaxed structure of MgInIr2, with properties calculated at the PBE level.

abc: 7.270 7.270 5.833
angles: 51.45 51.45 90.00
Element x y z (fractional)
Mg: 0.500 0.500 0.000
Mg: 0.250 0.750 0.500
Ir: 0.623 0.125 0.250
Ir: 0.127 0.625 0.250
Ir: 0.375 0.377 0.750
Ir: 0.875 0.873 0.750
In: 0.000 0.000 0.000
In: 0.750 0.250 0.500

Space-group type: I-42d (122)


Question: which arrangement is favored energetically? Ranking from most to least stable: run 2, run 1, run 3.


Run 1
Below is a relaxed structure of MgInIr2, with properties calculated at the PBE level.

abc: 3.200 3.200 6.313
angles: 90.00 90.00 90.00
Element x y z (fractional)
Mg: 0.500 0.500 0.250
Ir: 0.000 0.000 0.008
Ir: 0.000 0.000 0.492
In: 0.500 0.500 0.750

Space-group type: P4/mmm (123)


Run 2
Below is a relaxed structure of MgInIr2, with properties calculated at the PBE level.

abc: 2.885 2.885 8.972
angles: 90.00 90.00 116.71
Element x y z (fractional)
In: 0.500 0.500 0.750
Ir: 0.000 0.000 0.007
Ir: 0.000 0.000 0.493
Mg: 0.500 0.500 0.250

Space-group type: Cmmm (65)


Run 3
Below is a relaxed structure of MgInIr2, with properties calculated at the PBE level.

abc: 4.550 4.550 4.550
angles: 60.00 60.00 60.00
Element x y z (fractional)
In: 0.500 0.500 0.500
Ir: 0.000 0.000 0.000
Ir: 0.250 0.250 0.250
Mg: 0.750 0.750 0.750

Space-group type: F-43m (216)


Run 4
Below is a relaxed structure of MgInIr2, with properties calculated at the PBE level.

abc: 4.742 4.742 5.053
angles: 79.95 79.95 36.09
Element x y z (fractional)
In: 0.750 0.750 0.750
Ir: 0.998 0.998 0.013
Ir: 0.502 0.502 0.487
Mg: 0.250 0.250 0.250

Space-group type: C2/m (12)


Question: which arrangement is favored energetically? Ranking from most to least stable: run 1, run 4, run 3, run 2.